(1)
Computed, not measured: a PBEsol-optimized structure of Zr3SiNi at the SCAN level of DFT.

## Properties
M_tot, μB/cell: 0.000
Formation energy (no corrections), eV/atom: 0.0784

abc: 4.7265 4.7265 4.7265
angles: 90.00 90.00 90.00
Last column: nearest neighbours and their distance in Å.
Fractional coordinates of all 5 atoms:
Ni 0.0000 0.0000 0.0000  6 Zr 2.36
Si 0.5000 0.5000 0.5000  12 Zr 3.34
Zr 0.0000 0.5000 0.0000  2 Ni 2.36
Zr 0.0000 0.0000 0.5000  2 Ni 2.36
Zr 0.5000 0.0000 0.0000  2 Ni 2.36

---

(2)
Computed, not measured: a PBEsol-optimized structure of ZrSi2Ni at the SCAN level of DFT.

## Properties
M_tot, μB/cell: 0.806
Formation energy (no corrections), eV/atom: -0.0116

abc: 4.3691 4.3691 4.3691
angles: 60.00 60.00 60.00
Last column: nearest neighbours and their distance in Å.
Fractional coordinates of all 4 atoms:
Ni 0.5000 0.5000 0.5000  4 Si 2.68, 4 Zr 2.68
Si 0.0000 0.0000 0.0000  4 Zr 2.68, 4 Si 2.68
Si 0.7500 0.7500 0.7500  4 Ni 2.68, 4 Si 2.68
Zr 0.2500 0.2500 0.2500  4 Ni 2.68, 4 Si 2.68